An optimized crystal structure of YAl10Fe2, computed with PBE.

```
data_YAl10Fe2
_space_group_name_H-M_alt 'P 1'
_space_group_IT_number 1
_space_group_name_Hall 'P 1'
_cell_length_a 6.747
_cell_length_b 6.747
_cell_length_c 8.964
_cell_angle_alpha 90.00
_cell_angle_beta 90.00
_cell_angle_gamma 97.12
loop_
_atom_site_label
_atom_site_type_symbol
_atom_site_fract_x
_atom_site_fract_y
_atom_site_fract_z
Al1 Al 0.227 0.227 0.000
Al2 Al 0.773 0.773 0.000
Al3 Al 0.375 0.625 0.050
Al4 Al 0.841 0.159 0.097
Al5 Al 0.478 0.220 0.250
Al6 Al 0.133 0.414 0.250
Al7 Al 0.780 0.522 0.250
Al8 Al 0.586 0.867 0.250
Al9 Al 0.841 0.159 0.403
Al10 Al 0.375 0.625 0.450
Al11 Al 0.227 0.227 0.500
Al12 Al 0.773 0.773 0.500
Al13 Al 0.625 0.375 0.550
Al14 Al 0.159 0.841 0.597
Al15 Al 0.414 0.133 0.750
Al16 Al 0.220 0.478 0.750
Al17 Al 0.867 0.586 0.750
Al18 Al 0.522 0.780 0.750
Al19 Al 0.159 0.841 0.903
Al20 Al 0.625 0.375 0.950
Fe1 Fe 0.500 0.000 0.000
Fe2 Fe 0.000 0.500 0.000
Fe3 Fe 0.500 0.000 0.500
Fe4 Fe 0.000 0.500 0.500
Y1 Y 0.126 0.874 0.250
Y2 Y 0.874 0.126 0.750
```

Crystal system = orthorhombic
Symmetry = Cmcm, No. 63
Uncorrected energy = -65.2 eV/f.u.

=====

An optimized crystal structure of KNaTc, computed with PBE.

```
data_KNaTc
_space_group_name_H-M_alt 'P 1'
_space_group_IT_number 1
_space_group_name_Hall 'P 1'
_cell_length_a 5.392
_cell_length_b 5.392
_cell_length_c 5.392
_cell_angle_alpha 60.00
_cell_angle_beta 60.00
_cell_angle_gamma 60.00
loop_
_atom_site_label
_atom_site_type_symbol
_atom_site_fract_x
_atom_site_fract_y
_atom_site_fract_z
K1 K 0.000 0.000 0.000
Na1 Na 0.250 0.250 0.250
Tc1 Tc 0.750 0.750 0.750
```

Crystal system = cubic
Symmetry = F-43m, No. 216
Excess energy over the best structure of this formula in the dataset = 151.6 meV/atom

=====

An optimized crystal structure of HoH2Cl, computed with PBE.

```
data_HoH2Cl
_space_group_name_H-M_alt 'P 1'
_space_group_IT_number 1
_space_group_name_Hall 'P 1'
_cell_length_a 10.131
_cell_length_b 10.131
_cell_length_c 10.131
_cell_angle_alpha 20.82
_cell_angle_beta 20.82
_cell_angle_gamma 20.82
loop_
_atom_site_label
_atom_site_type_symbol
_atom_site_fract_x
_atom_site_fract_y
_atom_site_fract_z
Cl1 Cl 0.279 0.279 0.279
Cl2 Cl 0.721 0.721 0.721
H1 H 0.187 0.187 0.187
H2 H 0.454 0.454 0.454
H3 H 0.546 0.546 0.546
H4 H 0.813 0.813 0.813
Ho1 Ho 0.113 0.113 0.113
Ho2 Ho 0.887 0.887 0.887
```

Crystal system = trigonal
Symmetry = R-3m, No. 166
Uncorrected energy = -18.0 eV/f.u.